# 1
Here is a geometry-optimized MnIn5S8 structure from Alexandria via LeMat-Bulk. Energies are from PBE-GGA.

DOS(E_F) in states/eV per cell: 4.05
Total DFT energy (no corrections) in eV/atom: -4.52
ΔE_f (raw) in eV/atom: -0.53
Magnetization in Bohr magnetons per cell: 4.445

a b c (Å): 7.7374 7.7374 7.7374
angles (deg): 60.00 60.00 60.00
With the nearest neighbours (Å) after each atom.
Fractional positions:
Mn 0.0000 0.0000 0.0000  4 S 2.44
In 0.3717 0.3717 0.3717  6 S 2.66-2.68
In 0.3717 0.3717 0.8848  6 S 2.66-2.68
In 0.3717 0.8848 0.3717  6 S 2.66-2.68
In 0.7500 0.7500 0.7500  4 S 2.54
In 0.8848 0.3717 0.3717  6 S 2.66-2.68
S 0.1286 0.1286 0.1286  1 Mn 2.44, 3 In 2.66
S 0.1286 0.1286 0.6140  1 Mn 2.44, 3 In 2.66
S 0.1286 0.6140 0.1286  1 Mn 2.44, 3 In 2.66
S 0.1525 0.6158 0.6158  4 In 2.54-2.68
S 0.6140 0.1286 0.1286  1 Mn 2.44, 3 In 2.66
S 0.6158 0.1525 0.6158  4 In 2.54-2.68
S 0.6158 0.6158 0.1525  4 In 2.54-2.68
S 0.6158 0.6158 0.6158  4 In 2.54-2.68



# 2
Here is a geometry-optimized MnInS2 structure from Alexandria via LeMat-Bulk. Energies are from PBE-GGA.

DOS(E_F) in states/eV per cell: 8.11
Total DFT energy (no corrections) in eV/atom: -5.51
ΔE_f (raw) in eV/atom: -0.47
Magnetization in Bohr magnetons per cell: 7.667

a b c (Å): 3.3319 3.3319 25.2820
angles (deg): 90.00 90.00 120.00
With the nearest neighbours (Å) after each atom.
Fractional positions:
Mn 0.0000 0.0000 0.0000  6 S 2.32
Mn 0.3333 0.6667 0.6667  6 S 2.32
Mn 0.6667 0.3333 0.3333  6 S 2.32
In 0.0000 0.0000 0.5000  2 S 2.91
In 0.3333 0.6667 0.1667  2 S 2.91
In 0.6667 0.3333 0.8333  2 S 2.91
S 0.0000 0.0000 0.3850  3 Mn 2.32
S 0.0000 0.0000 0.6150  3 Mn 2.32
S 0.3333 0.6667 0.0516  3 Mn 2.32
S 0.3333 0.6667 0.2817  3 Mn 2.32
S 0.6667 0.3333 0.7183  3 Mn 2.32
S 0.6667 0.3333 0.9484  3 Mn 2.32



# 3
Here is a geometry-optimized MnInS2 structure from Alexandria via LeMat-Bulk. Energies are from PBE-GGA.

DOS(E_F) in states/eV per cell: 0.56
Total DFT energy (no corrections) in eV/atom: -5.43
ΔE_f (raw) in eV/atom: -0.39
Magnetization in Bohr magnetons per cell: 4.129

a b c (Å): 3.9937 3.9937 7.1754
angles (deg): 90.00 90.00 120.00
With the nearest neighbours (Å) after each atom.
Fractional positions:
Mn 0.0000 0.0000 0.0000  4 S 2.32-2.44
In 0.3333 0.6667 0.5086  4 S 2.66-2.74
S 0.0000 0.0000 0.3236  1 Mn 2.32
S 0.3333 0.6667 0.8900  3 Mn 2.44